# 1
Entry from Alexandria via LeMat-Bulk: a geometry-optimized K3Ce3AlS8 structure (PBE-GGA).

Summary:
ΔE_f (raw) in eV per atom: -1.606

a b c (Å): 8.096 8.097 8.819
angles (deg): 117.34 90.00 120.00
Sites, in units of the cell vectors:
1 S 0.787 0.574 0.314
2 S 0.213 0.973 0.686
3 S 0.787 0.027 0.314
4 S 0.240 0.027 0.314
5 S 0.264 0.529 0.293
6 S 0.760 0.973 0.686
7 S 0.736 0.471 0.707
8 S 0.213 0.426 0.686
9 Al 0.000 0.000 0.500
10 Ce 0.500 0.500 0.500
11 Ce 0.000 0.500 0.500
12 Ce 0.500 0.000 0.500
13 K 0.000 0.000 0.000
14 K 0.500 0.500 0.000
15 K 0.000 0.500 0.000

# 2
Entry from Alexandria via LeMat-Bulk: a geometry-optimized K3Ce3AlSe8 structure (PBE-GGA).

Summary:
ΔE_f (raw) in eV per atom: -1.485

a b c (Å): 8.437 8.436 9.206
angles (deg): 117.29 90.00 120.00
Sites, in units of the cell vectors:
1 Se 0.263 0.527 0.290
2 Se 0.215 0.431 0.690
3 Se 0.216 0.975 0.690
4 Se 0.784 0.025 0.310
5 Se 0.759 0.975 0.690
6 Se 0.785 0.569 0.310
7 Se 0.737 0.473 0.710
8 Se 0.241 0.025 0.310
9 K 0.000 0.000 0.000
10 K 0.000 0.500 0.000
11 K 0.500 0.500 0.000
12 Ce 0.500 0.000 0.500
13 Ce 0.500 0.500 0.500
14 Ce 0.000 0.500 0.500
15 Al 0.000 0.000 0.500

# 3
Entry from Alexandria via LeMat-Bulk: a geometry-optimized K2Ce2AlSe6 structure (PBE-GGA).

Summary:
ΔE_f (raw) in eV per atom: -1.408

a b c (Å): 7.149 7.149 8.200
angles (deg): 98.71 98.71 119.50
Sites, in units of the cell vectors:
1 Ce 0.333 0.667 0.500
2 Ce 0.667 0.333 0.500
3 Se 0.230 0.230 0.311
4 Se 0.068 0.377 0.696
5 Se 0.377 0.068 0.696
6 Se 0.623 0.932 0.304
7 Se 0.932 0.623 0.304
8 Se 0.770 0.770 0.689
9 K 0.829 0.171 0.000
10 K 0.171 0.829 0.000
11 Al 0.000 0.000 0.500

# 4
Entry from Alexandria via LeMat-Bulk: a geometry-optimized KCeAlSe4 structure (PBE-GGA).

Summary:
ΔE_f (raw) in eV per atom: -1.316

a b c (Å): 6.860 6.838 9.219
angles (deg): 90.00 108.10 90.00
Sites, in units of the cell vectors:
1 Se 0.014 0.511 0.711
2 Se 0.567 0.250 0.837
3 Se 0.986 0.489 0.289
4 Se 0.433 0.750 0.163
5 Se 0.554 0.250 0.413
6 Se 0.014 0.989 0.711
7 Se 0.986 0.011 0.289
8 Se 0.446 0.750 0.587
9 Al 0.768 0.250 0.671
10 Al 0.232 0.750 0.329
11 Ce 0.232 0.250 0.555
12 Ce 0.768 0.750 0.445
13 K 0.256 0.250 0.057
14 K 0.744 0.750 0.943

# 5
Entry from Alexandria via LeMat-Bulk: a geometry-optimized K3Ce3AlTe8 structure (PBE-GGA).

Summary:
ΔE_f (raw) in eV per atom: -1.115

a b c (Å): 9.010 9.010 9.868
angles (deg): 117.18 90.00 120.00
Sites, in units of the cell vectors:
1 Te 0.781 0.023 0.305
2 Te 0.219 0.438 0.695
3 Te 0.781 0.562 0.305
4 Te 0.758 0.976 0.695
5 Te 0.219 0.977 0.695
6 Te 0.738 0.476 0.714
7 Te 0.242 0.024 0.305
8 Te 0.262 0.524 0.286
9 Ce 0.000 0.500 0.500
10 Ce 0.500 0.500 0.500
11 Ce 0.500 0.000 0.500
12 K 0.000 0.500 0.000
13 K 0.500 0.500 0.000
14 K 0.000 0.000 0.000
15 Al 0.000 0.000 0.500

# 6
Entry from Alexandria via LeMat-Bulk: a geometry-optimized La2CeAl structure (PBE-GGA).

Summary:
Relative energy among the computed polymorphs in meV/atom: 131
E_form in eV per formula unit: 0.0

a b c (Å): 5.469 5.469 5.469
angles (deg): 60.00 60.00 60.00
Sites, in units of the cell vectors:
1 La 0.750 0.750 0.750
2 La 0.250 0.250 0.250
3 Al 0.500 0.500 0.500
4 Ce 0.000 0.000 0.000

# 7
Entry from Alexandria via LeMat-Bulk: a geometry-optimized LaCe2Al structure (PBE-GGA).

Summary:
Relative energy among the computed polymorphs in meV/atom: 0
E_form in eV per formula unit: -0.5

a b c (Å): 4.882 4.736 4.736
angles (deg): 90.00 90.00 90.00
Sites, in units of the cell vectors:
1 Ce 0.000 0.500 0.000
2 Ce 0.000 0.000 0.500
3 La 0.500 0.500 0.500
4 Al 0.500 0.000 0.000

# 8
Entry from Alexandria via LeMat-Bulk: a geometry-optimized LaCeAl structure (PBE-GGA).

Summary:
Relative energy among the computed polymorphs in meV/atom: 261
E_form in eV per formula unit: 0.2

a b c (Å): 4.453 4.453 10.001
angles (deg): 77.14 77.14 60.00
Sites, in units of the cell vectors:
1 La 0.569 0.569 0.292
2 La 0.431 0.431 0.708
3 Al 0.171 0.171 0.487
4 Al 0.829 0.829 0.513
5 Ce 0.707 0.707 0.880
6 Ce 0.293 0.293 0.120

# 9
Entry from Alexandria via LeMat-Bulk: a geometry-optimized La2CeAl6 structure (PBE-GGA).

Summary:
E_form in eV per formula unit: -3.9

a b c (Å): 3.756 8.054 8.054
angles (deg): 120.00 90.00 90.00
Sites, in units of the cell vectors:
1 Al 0.500 0.670 0.000
2 Al 0.500 0.330 0.000
3 Al 0.500 0.000 0.330
4 Al 0.500 0.000 0.670
5 Al 0.500 0.670 0.670
6 Al 0.500 0.330 0.330
7 Ce 0.000 0.000 0.000
8 La 0.000 0.333 0.667
9 La 0.000 0.667 0.333

# 10
Entry from Alexandria via LeMat-Bulk: a geometry-optimized LaCe3Al8 structure (PBE-GGA).

Summary:
Relative energy among the computed polymorphs in meV/atom: 0
E_form in eV per formula unit: -5.6

a b c (Å): 5.657 5.657 9.787
angles (deg): 73.20 73.20 60.00
Sites, in units of the cell vectors:
1 Al 0.438 0.438 0.185
2 Al 0.438 0.938 0.185
3 Al 0.937 0.937 0.689
4 Al 0.436 0.937 0.689
5 Al 0.938 0.438 0.185
6 Al 0.187 0.187 0.438
7 Al 0.937 0.436 0.689
8 Al 0.687 0.687 0.938
9 Ce 0.375 0.375 0.875
10 Ce 0.001 0.001 0.996
11 Ce 0.499 0.499 0.504
12 La 0.875 0.875 0.376

# 11
Entry from Alexandria via LeMat-Bulk: a geometry-optimized La3CeAl structure (PBE-GGA).

Summary:
E_form in eV per formula unit: 0.0

a b c (Å): 6.989 6.989 8.512
angles (deg): 65.76 65.76 60.00
Sites, in units of the cell vectors:
1 La 0.265 0.749 0.238
2 La 0.735 0.251 0.762
3 La 0.749 0.748 0.238
4 La 0.252 0.735 0.762
5 La 0.748 0.265 0.238
6 La 0.251 0.252 0.762
7 Al 0.299 0.299 0.103
8 Al 0.701 0.701 0.897
9 Ce 0.169 0.169 0.493
10 Ce 0.831 0.831 0.507

# 12
Entry from Alexandria via LeMat-Bulk: a geometry-optimized La2CeAl structure (PBE-GGA).

Summary:
Relative energy among the computed polymorphs in meV/atom: 36
E_form in eV per formula unit: -0.4

a b c (Å): 3.669 3.669 8.833
angles (deg): 90.00 90.00 90.00
Sites, in units of the cell vectors:
1 Al 0.500 0.500 0.000
2 Ce 0.500 0.500 0.500
3 La 0.000 0.000 0.224
4 La 0.000 0.000 0.776

Computed density of states at the Fermi level, in the same sequence as the records: 13.23; 11.95; 5.94; 10.10; 14.08; 7.76; 10.29; 13.44; 7.56; 18.68; 13.78; 6.10 states/eV per cell.